[1]
The following is a PBE-GGA calculation of a geometry-optimized CaPr2Ga structure, from Alexandria via LeMat-Bulk.

Output
space-group type: Cmcm, No. 63
uncorrected energy: -30.9 eV/cell
ρ: 5.06 Mg/m³
polymorph energy (0 for the lowest one): 0.004 eV per atom
total magnetization: 0.00 μB/cell
energy of formation: -0.2208 eV per atom

```
8
Lattice="1.930 -6.729 0.000 1.930 6.729 0.000 0.000 0.000 9.900" Properties=species:S:1:pos:R:3 pbc="T T T"
Ca 1.930 5.964 7.425
Ca 1.930 -5.964 2.475
Pr 1.930 1.931 5.476
Pr 1.930 1.931 9.374
Pr 1.930 -1.931 0.526
Pr 1.930 -1.931 4.424
Ga 1.930 3.188 2.475
Ga 1.930 -3.188 7.425
```

[2]
The following is a PBE-GGA calculation of a geometry-optimized Tb4Dy3In4 structure, from Alexandria via LeMat-Bulk.

Output
space-group type: Immm, No. 71
uncorrected energy: -46.5 eV/cell
ρ: 8.11 Mg/m³
total magnetization: 0.00 μB/cell
energy of formation: -0.2969 eV per atom

```
11
Lattice="-1.820 4.719 9.425 1.820 -4.719 9.425 1.820 4.719 -9.425" Properties=species:S:1:pos:R:3 pbc="T T T"
Tb 1.820 -2.967 6.361
Tb 0.000 1.752 3.065
Tb 1.820 2.967 6.361
Tb 0.000 7.686 3.065
Dy 1.820 0.000 0.000
Dy 0.000 0.000 7.612
Dy 0.000 0.000 11.239
In 1.820 0.000 5.083
In 0.000 2.651 0.000
In 0.000 6.787 0.000
In 0.000 4.719 4.342
```

[3]
The following is a PBE-GGA calculation of a geometry-optimized Sc2TeAs structure, from Alexandria via LeMat-Bulk.

Output
space-group type: P4/mmm, No. 123
uncorrected energy: -24.0 eV/cell
E_form (uncorrected): -20.46 kcal/mol of atoms
ρ: 5.57 Mg/m³
total magnetization: 0.66 μB/cell

```
4
Lattice="3.511 0.000 0.000 0.000 3.511 0.000 0.000 0.000 7.076" Properties=species:S:1:pos:R:3 pbc="T T T"
Sc 0.000 0.000 1.600
Sc 0.000 0.000 5.477
Te 1.756 1.756 3.538
As 1.756 1.756 0.000
```

[4]
The following is a PBE-GGA calculation of a geometry-optimized Dy3Zn2Ga7 structure, from Alexandria via LeMat-Bulk.

Output
space-group type: P2/m, No. 10
uncorrected energy: -43.4 eV/cell
ρ: 7.84 Mg/m³
total magnetization: 0.00 μB/cell
energy of formation: -0.4841 eV per atom

```
12
Lattice="4.180 0.000 0.000 0.000 4.170 0.000 -2.053 0.000 13.447" Properties=species:S:1:pos:R:3 pbc="T T T"
Dy 0.000 0.000 0.000
Dy 0.023 2.085 8.476
Dy 2.104 2.085 4.971
Zn 0.001 0.000 3.687
Zn 2.126 0.000 9.760
Ga 0.001 2.085 2.231
Ga 0.017 0.000 6.098
Ga 0.036 0.000 11.226
Ga 2.090 2.085 0.000
Ga 2.092 0.000 2.221
Ga 2.110 0.000 7.349
Ga 2.127 2.085 11.216
```

[5]
The following is a PBE-GGA calculation of a geometry-optimized InSi2Au structure, from Alexandria via LeMat-Bulk.

Output
space-group type: Pmmm, No. 47
uncorrected energy: -15.3 eV/cell
E_form (uncorrected): 8.94 kcal/mol of atoms
ρ: 7.91 Mg/m³
total magnetization: 0.00 μB/cell

```
4
Lattice="3.794 0.000 0.000 0.000 4.023 0.000 0.000 0.000 5.060" Properties=species:S:1:pos:R:3 pbc="T T T"
In 0.000 0.000 0.000
Si 0.000 2.012 2.530
Si 1.897 0.000 2.530
Au 1.897 2.012 0.000
```

[6]
The following is a PBE-GGA calculation of a geometry-optimized Ca2AcPmTl4 structure, from Alexandria via LeMat-Bulk.

Output
space-group type: R-3m, No. 166
uncorrected energy: -25.5 eV/cell
ρ: 8.49 Mg/m³
total magnetization: 0.00 μB/cell
energy of formation: -0.3956 eV per atom

```
8
Lattice="2.792 1.612 9.194 -2.792 1.612 9.194 0.000 -3.224 9.194" Properties=species:S:1:pos:R:3 pbc="T T T"
Ca 0.000 0.000 6.858
Ca 0.000 0.000 20.722
Ac 0.000 0.000 0.000
Pm 0.000 0.000 13.790
Tl 0.000 0.000 3.510
Tl 0.000 0.000 10.469
Tl 0.000 0.000 17.111
Tl 0.000 0.000 24.071
```

[7]
The following is a PBE-GGA calculation of a geometry-optimized LiRuBr structure, from Alexandria via LeMat-Bulk.

Output
space-group type: F-43m, No. 216
uncorrected energy: -11.4 eV/cell
E_form (uncorrected): 11.29 kcal/mol of atoms
ρ: 5.66 Mg/m³
polymorph energy (0 for the lowest one): 0.855 eV per atom
total magnetization: 1.94 μB/cell

```
3
Lattice="0.000 3.020 3.020 3.020 0.000 3.020 3.020 3.020 0.000" Properties=species:S:1:pos:R:3 pbc="T T T"
Li 0.000 0.000 0.000
Ru 3.020 3.020 3.020
Br 4.530 4.530 4.530
```

[8]
The following is a PBE-GGA calculation of a geometry-optimized Sr2ZrGe structure, from Alexandria via LeMat-Bulk.

Output
space-group type: I-42d, No. 122
uncorrected energy: -31.1 eV/cell
ρ: 3.42 Mg/m³
total magnetization: 4.00 μB/cell
energy of formation: 0.2471 eV per atom

```
8
Lattice="-5.552 5.552 2.670 5.552 -5.552 2.670 5.552 5.552 -2.670" Properties=species:S:1:pos:R:3 pbc="T T T"
Sr -1.236 2.776 0.668
Sr 2.776 4.317 2.003
Sr 1.236 8.328 0.668
Sr -2.776 6.788 2.003
Zr 5.552 0.000 1.335
Zr 0.000 0.000 2.670
Ge 0.000 0.000 0.000
Ge 0.000 5.552 1.335
```

[9]
The following is a PBE-GGA calculation of a geometry-optimized Ti2BeIn2 structure, from Alexandria via LeMat-Bulk.

Output
space-group type: I4/mmm, No. 139
uncorrected energy: -22.0 eV/cell
ρ: 5.51 Mg/m³
polymorph energy (0 for the lowest one): 0.429 eV per atom
total magnetization: 0.00 μB/cell
energy of formation: 0.5959 eV per atom

```
5
Lattice="-1.977 1.977 6.441 1.977 -1.977 6.441 1.977 1.977 -6.441" Properties=species:S:1:pos:R:3 pbc="T T T"
Ti 0.000 0.000 1.006
Ti 0.000 0.000 11.875
Be 0.000 0.000 6.441
In 1.977 0.000 3.220
In 0.000 1.977 3.220
```

[10]
The following is a PBE-GGA calculation of a geometry-optimized MnFe3Cu structure, from Alexandria via LeMat-Bulk.

Output
space-group type: Pm-3m, No. 221
uncorrected energy: -32.7 eV/cell
ρ: 6.51 Mg/m³
polymorph energy (0 for the lowest one): 0.000 eV per atom
total magnetization: 5.13 μB/cell
energy of formation: 1.1978 eV per atom

```
5
Lattice="4.178 0.000 0.000 0.000 4.178 0.000 0.000 0.000 4.178" Properties=species:S:1:pos:R:3 pbc="T T T"
Mn 0.000 0.000 0.000
Fe 0.000 0.000 2.089
Fe 0.000 2.089 0.000
Fe 2.089 0.000 0.000
Cu 2.089 2.089 2.089
```

[11]
The following is a PBE-GGA calculation of a geometry-optimized KAc2ClF8 structure, from Alexandria via LeMat-Bulk.

Output
space-group type: P-1, No. 2
uncorrected energy: -65.6 eV/cell
E_form (uncorrected): -75.83 kcal/mol of atoms
ρ: 4.81 Mg/m³
total magnetization: 0.00 μB/cell

```
12
Lattice="4.669 0.000 0.000 -0.232 6.740 0.000 -0.867 -2.648 7.467" Properties=species:S:1:pos:R:3 pbc="T T T"
K 0.000 0.000 0.000
Ac 1.550 0.980 5.443
Ac 2.020 3.112 2.024
Cl -0.433 -1.324 3.734
F -0.787 1.684 5.765
F 0.362 5.170 2.182
F 1.115 -0.688 7.288
F 1.602 3.195 4.440
F 1.968 0.897 3.027
F 2.456 4.780 0.179
F 3.209 -1.078 5.285
F 4.357 2.408 1.703
```

[12]
The following is a PBE-GGA calculation of a geometry-optimized Er3Hg4Pd2 structure, from Alexandria via LeMat-Bulk.

Output
space-group type: C2/c, No. 15
uncorrected energy: -60.0 eV/cell
ρ: 12.51 Mg/m³
total magnetization: 0.00 μB/cell
energy of formation: -0.5258 eV per atom

```
18
Lattice="7.061 -5.506 0.000 7.061 5.506 0.000 -0.932 0.000 5.182" Properties=species:S:1:pos:R:3 pbc="T T T"
Er 6.362 4.312 3.886
Er 3.842 1.499 4.762
Er 4.308 -1.499 2.171
Er 8.882 1.499 3.011
Er 9.348 -1.499 0.420
Er 6.828 -4.312 1.295
Hg 2.716 1.235 1.884
Hg 5.809 1.490 2.438
Hg 2.250 -1.235 4.475
Hg 7.847 1.490 0.152
Hg 5.343 -1.490 5.029
Hg 10.939 1.235 0.706
Hg 7.381 -1.490 2.743
Hg 10.473 -1.235 3.297
Pd 5.326 4.095 0.955
Pd 8.329 4.095 1.636
Pd 4.860 -4.095 3.546
Pd 7.863 -4.095 4.226
```

[13]
The following is a PBE-GGA calculation of a geometry-optimized Na2ScGaTe5 structure, from Alexandria via LeMat-Bulk.

Output
space-group type: Cmc2_1, No. 36
uncorrected energy: -67.4 eV/cell
E_form (uncorrected): -15.40 kcal/mol of atoms
ρ: 4.66 Mg/m³
total magnetization: 0.00 μB/cell

```
18
Lattice="1.905 -10.228 0.000 1.905 10.228 0.000 0.000 0.000 14.618" Properties=species:S:1:pos:R:3 pbc="T T T"
Na 1.905 7.747 7.309
Na 1.905 7.490 12.564
Na 1.905 -7.490 5.255
Na 1.905 -7.747 0.000
Sc 1.905 6.018 2.984
Sc 1.905 -6.018 10.293
Ga 1.905 1.489 8.683
Ga 1.905 -1.489 1.374
Te 1.905 9.080 3.147
Te 1.905 4.109 12.415
Te 1.905 4.082 8.059
Te 1.905 3.081 2.641
Te 1.905 0.154 6.454
Te 1.905 -0.154 13.763
Te 1.905 -3.081 9.950
Te 1.905 -4.082 0.749
Te 1.905 -4.109 5.106
Te 1.905 -9.080 10.456
```

[14]
The following is a PBE-GGA calculation of a geometry-optimized Cs2KWS4 structure, from Alexandria via LeMat-Bulk.

Output
space-group type: Fddd, No. 70
uncorrected energy: -78.4 eV/cell
E_form (uncorrected): -19.94 kcal/mol of atoms
ρ: 3.09 Mg/m³
total magnetization: 2.06 μB/cell

```
16
Lattice="0.000 6.990 13.230 3.583 0.000 13.230 3.583 6.990 0.000" Properties=species:S:1:pos:R:3 pbc="T T T"
Cs 2.687 5.243 1.612
Cs 4.479 8.738 8.227
Cs 2.687 5.243 18.233
Cs 4.479 8.738 24.848
K 0.896 1.748 3.308
K 6.270 12.233 23.153
W 2.687 5.243 9.923
W 4.479 8.738 16.538
S 3.925 3.882 8.613
S 3.925 6.603 11.233
S 5.717 7.377 17.848
S 1.449 3.882 11.233
S 5.717 10.098 15.228
S 1.449 6.603 8.613
S 3.240 7.377 15.228
S 3.240 10.098 17.848
```

[15]
The following is a PBE-GGA calculation of a geometry-optimized LiFe2Ag2 structure, from Alexandria via LeMat-Bulk.

Output
space-group type: P4/mbm, No. 127
uncorrected energy: -45.7 eV/cell
ρ: 6.75 Mg/m³
polymorph energy (0 for the lowest one): 0.000 eV per atom
total magnetization: 11.13 μB/cell
energy of formation: 0.3411 eV per atom

```
10
Lattice="7.736 0.000 0.000 0.000 7.736 0.000 0.000 0.000 2.749" Properties=species:S:1:pos:R:3 pbc="T T T"
Li 0.000 0.000 0.000
Li 3.868 3.868 0.000
Fe 0.817 3.051 0.000
Fe 3.051 6.919 0.000
Fe 4.685 0.817 0.000
Fe 6.919 4.685 0.000
Ag 1.452 5.320 1.375
Ag 2.417 1.452 1.375
Ag 5.320 6.285 1.375
Ag 6.285 2.417 1.375
```

[16]
The following is a PBE-GGA calculation of a geometry-optimized Rb6Na2Tl structure, from Alexandria via LeMat-Bulk.

Output
space-group type: R-3m, No. 166
uncorrected energy: -10.6 eV/cell
ρ: 2.15 Mg/m³
total magnetization: 0.13 μB/cell
energy of formation: 0.0267 eV per atom

```
9
Lattice="3.553 2.052 13.505 -3.553 2.052 13.505 0.000 -4.103 13.505" Properties=species:S:1:pos:R:3 pbc="T T T"
Rb 0.000 0.000 3.168
Rb 0.000 0.000 7.786
Rb 0.000 0.000 12.596
Rb 0.000 0.000 27.920
Rb 0.000 0.000 32.730
Rb 0.000 0.000 37.348
Na 0.000 0.000 17.021
Na 0.000 0.000 23.496
Tl 0.000 0.000 20.258
```

[17]
The following is a PBE-GGA calculation of a geometry-optimized TmGePb2 structure, from Alexandria via LeMat-Bulk.

Output
space-group type: R-3m, No. 166
uncorrected energy: -15.6 eV/cell
ρ: 9.24 Mg/m³
total magnetization: 0.00 μB/cell
energy of formation: 0.2289 eV per atom

```
4
Lattice="1.733 1.001 11.330 -1.733 1.001 11.330 0.000 -2.001 11.330" Properties=species:S:1:pos:R:3 pbc="T T T"
Tm 0.000 0.000 0.000
Ge 0.000 0.000 16.996
Pb 0.000 0.000 3.182
Pb 0.000 0.000 30.810
```

[18]
The following is a PBE-GGA calculation of a geometry-optimized Y2TaW structure, from Alexandria via LeMat-Bulk.

Output
space-group type: P4mm, No. 99
uncorrected energy: -36.9 eV/cell
ρ: 9.28 Mg/m³
polymorph energy (0 for the lowest one): 0.000 eV per atom
total magnetization: 0.00 μB/cell
energy of formation: 0.2173 eV per atom

```
4
Lattice="3.408 0.000 0.000 0.000 3.408 0.000 0.000 0.000 8.363" Properties=species:S:1:pos:R:3 pbc="T T T"
Y 0.000 0.000 0.000
Y 1.704 1.704 3.015
Ta 0.000 0.000 5.118
W 1.704 1.704 6.403
```

[19]
The following is a PBE-GGA calculation of a geometry-optimized Sr2MoCl structure, from Alexandria via LeMat-Bulk.

Output
space-group type: Immm, No. 71
uncorrected energy: -15.2 eV/cell
E_form (uncorrected): 5.11 kcal/mol of atoms
ρ: 3.55 Mg/m³
polymorph energy (0 for the lowest one): 0.319 eV per atom
total magnetization: 4.04 μB/cell

```
4
Lattice="-2.002 3.598 4.980 2.002 -3.598 4.980 2.002 3.598 -4.980" Properties=species:S:1:pos:R:3 pbc="T T T"
Sr 0.000 0.000 2.160
Sr 0.000 0.000 7.800
Mo 0.000 3.598 0.000
Cl 2.002 0.000 0.000
```

[20]
The following is a PBE-GGA calculation of a geometry-optimized Tb2SmN3 structure, from Alexandria via LeMat-Bulk.

Output
space-group type: Pnma, No. 62
uncorrected energy: -194.1 eV/cell
E_form (uncorrected): -36.78 kcal/mol of atoms
ρ: 9.08 Mg/m³
total magnetization: 0.00 μB/cell

```
24
Lattice="7.061 0.000 0.000 0.000 4.989 0.000 0.000 0.000 10.591" Properties=species:S:1:pos:R:3 pbc="T T T"
Tb 0.883 1.247 0.882
Tb 0.893 1.247 7.953
Tb 2.638 3.742 2.657
Tb 2.647 3.742 6.178
Tb 4.414 1.247 4.414
Tb 4.423 1.247 7.934
Tb 6.168 3.742 2.639
Tb 6.178 3.742 9.709
Sm 0.893 1.247 4.410
Sm 2.637 3.742 9.705
Sm 4.424 1.247 0.886
Sm 6.168 3.742 6.182
N 0.869 3.742 0.907
N 0.903 3.742 7.930
N 0.939 3.742 4.402
N 2.592 1.247 9.698
N 2.627 1.247 2.635
N 2.661 1.247 6.203
N 4.400 3.742 4.388
N 4.434 3.742 7.957
N 4.469 3.742 0.893
N 6.123 1.247 6.189
N 6.158 1.247 2.661
N 6.192 1.247 9.684
```